A plane-wave DFT calculation with PBE-GGA was carried out for crystalline CaNd2Sb at its relaxed geometry.

Distance to the lowest polymorph of the same formula = 0.000 eV/atom
Formation energy without anion corrections = -0.50 eV per atom
Volume = 127.50 Å³ per cell

a = 4.3019 Å, b = 4.3019 Å, c = 6.8897 Å
α = 90.00°, β = 90.00°, γ = 90.00°
Closest atoms and distances in Å follow each position.
Space group P4/mmm (No. 123)
Asymmetric unit:
Ca 0.0000 0.0000 0.0000  2 Sb 3.44, 8 Nd 3.56
Nd 0.5000 0.5000 0.2691  1 Nd 3.18, 4 Sb 3.43, 4 Ca 3.56
Sb 0.0000 0.0000 0.5000  8 Nd 3.43, 2 Ca 3.44